CaRhWO6: relaxed, GGA+U.

Geometry as POSCAR:
```
CaRhWO6
1.0
5.242 0.000 0.000
-2.621 4.540 0.000
0.000 0.000 10.140
Ca Rh W O
2 2 2 12
Direct
0.000 0.000 0.000
0.000 0.000 0.500
0.333 0.667 0.250
0.667 0.333 0.750
0.333 0.667 0.750
0.667 0.333 0.250
0.010 0.370 0.643
0.010 0.640 0.857
0.360 0.370 0.857
0.360 0.990 0.643
0.370 0.010 0.143
0.370 0.360 0.357
0.630 0.640 0.643
0.630 0.990 0.857
0.640 0.010 0.357
0.640 0.630 0.143
0.990 0.360 0.143
0.990 0.630 0.357
```

Properties
ρ = 5.82 g/cm³
Total moment = 2.1 Bohr magnetons per cell
D(E_F) = 0.6427 states/eV/atom
SG = P-31c, No. 163
Total energy = -125.4 eV per cell